GdTiCu4 | GGA-PBE | optimized geometry

CIF file:
```
data_GdTiCu4
_chemical_formula_sum 'Gd4 Ti4 Cu16'
_cell_length_a 7.213
_cell_length_b 7.213
_cell_length_c 7.213
_cell_angle_alpha 90.00
_cell_angle_beta 90.00
_cell_angle_gamma 90.00
_symmetry_space_group_name_H-M 'F -4 3 m'
_symmetry_Int_Tables_number 216
_symmetry_space_group_name_Hall 'F -4 2 3'
loop_
_atom_site_label
_atom_site_type_symbol
_atom_site_fract_x
_atom_site_fract_y
_atom_site_fract_z
Gd1 Gd 0.000 0.000 0.000
Ti1 Ti 0.250 0.250 0.250
Cu1 Cu 0.124 0.124 0.624
```

Values from the calculation:
density of states at the Fermi level = 9.4 states/eV/f.u.
formation energy from the elements = -0.017 eV/atom
total energy = -6.410 eV per atom


Tl2ZnPO4 | GGA-PBE | optimized geometry

CIF file:
```
data_Tl2ZnPO4
_chemical_formula_sum 'Tl4 Zn2 P2 O8'
_cell_length_a 6.160
_cell_length_b 8.558
_cell_length_c 5.274
_cell_angle_alpha 90.00
_cell_angle_beta 90.00
_cell_angle_gamma 90.00
_symmetry_space_group_name_H-M 'P m n 21'
_symmetry_Int_Tables_number 31
loop_
_symmetry_equiv_pos_as_xyz
'x,y,z'
'-x+1/2,-y,z+1/2'
'-x,y,z'
'x+1/2,-y,z+1/2'
loop_
_atom_site_label
_atom_site_type_symbol
_atom_site_fract_x
_atom_site_fract_y
_atom_site_fract_z
Tl1 Tl 0.250 0.136 0.000
Zn1 Zn 0.000 0.398 0.478
P1 P 0.000 0.609 0.977
O1 O 0.000 0.447 0.109
O2 O 0.000 0.591 0.684
O3 O 0.209 0.705 0.053
```

Values from the calculation:
density of states at the Fermi level = 1.9 states/eV/f.u.
total energy = -5.386 eV per atom
formation energy (no corrections) = -11.84 eV per formula unit


ThPH2Pd2 | GGA-PBE | optimized geometry

CIF file:
```
data_ThPH2Pd2
_chemical_formula_sum 'Th2 P2 H4 Pd4'
_cell_length_a 5.788
_cell_length_b 5.542
_cell_length_c 6.013
_cell_angle_alpha 90.00
_cell_angle_beta 118.67
_cell_angle_gamma 90.00
_symmetry_space_group_name_H-M 'P 1 21/m 1'
_symmetry_Int_Tables_number 11
loop_
_symmetry_equiv_pos_as_xyz
'x,y,z'
'-x,-y,-z'
'-x,y+1/2,-z'
'x,-y+1/2,z'
loop_
_atom_site_label
_atom_site_type_symbol
_atom_site_fract_x
_atom_site_fract_y
_atom_site_fract_z
Th1 Th 0.234 0.250 0.467
P1 P 0.341 0.750 0.680
H1 H 0.100 0.250 0.801
H2 H 0.300 0.750 0.199
Pd1 Pd 0.248 0.000 0.000
```

Values from the calculation:
density of states at the Fermi level = 1.3 states/eV/f.u.
total energy = -5.605 eV per atom


BeNbFe4 | GGA-PBE | optimized geometry

CIF file:
```
data_BeNbFe4
_chemical_formula_sum 'Be4 Nb4 Fe16'
_cell_length_a 6.643
_cell_length_b 6.643
_cell_length_c 6.643
_cell_angle_alpha 90.00
_cell_angle_beta 90.00
_cell_angle_gamma 90.00
_symmetry_space_group_name_H-M 'F -4 3 m'
_symmetry_Int_Tables_number 216
_symmetry_space_group_name_Hall 'F -4 2 3'
loop_
_atom_site_label
_atom_site_type_symbol
_atom_site_fract_x
_atom_site_fract_y
_atom_site_fract_z
Be1 Be 0.000 0.000 0.000
Nb1 Nb 0.250 0.250 0.750
Fe1 Fe 0.126 0.126 0.374
```

Values from the calculation:
density of states at the Fermi level = 4.2 states/eV/f.u.
formation energy from the elements = -0.028 eV/atom
total energy = -7.969 eV per atom


LaNd3Ir | GGA-PBE | optimized geometry

CIF file:
```
data_LaNd3Ir
_chemical_formula_sum 'La4 Nd12 Ir4'
_cell_length_a 9.965
_cell_length_b 10.192
_cell_length_c 6.844
_cell_angle_alpha 90.00
_cell_angle_beta 111.74
_cell_angle_gamma 90.00
_symmetry_space_group_name_H-M 'C 1 2/m 1'
_symmetry_Int_Tables_number 12
loop_
_symmetry_equiv_pos_as_xyz
'x,y,z'
'-x,-y,-z'
'-x,y,-z'
'x,-y,z'
'x+1/2,y+1/2,z'
'-x+1/2,-y+1/2,-z'
'-x+1/2,y+1/2,-z'
'x+1/2,-y+1/2,z'
loop_
_atom_site_label
_atom_site_type_symbol
_atom_site_fract_x
_atom_site_fract_y
_atom_site_fract_z
La1 La 0.067 0.000 0.268
Nd1 Nd 0.065 0.500 0.265
Nd2 Nd 0.184 0.251 0.734
Ir1 Ir 0.248 0.000 0.996
```

Values from the calculation:
density of states at the Fermi level = 6.0 states/eV/f.u.
distance to the lowest polymorph of the same formula = 0.00 kcal/mol of atoms
formation energy from the elements = -0.248 eV/atom
total energy = -5.866 eV per atom


Ac3La4VN8 | GGA-PBE | optimized geometry

CIF file:
```
data_Ac3La4VN8
_chemical_formula_sum 'Ac6 La8 V2 N16'
_cell_length_a 13.025
_cell_length_b 7.395
_cell_length_c 7.351
_cell_angle_alpha 90.00
_cell_angle_beta 124.10
_cell_angle_gamma 90.00
_symmetry_space_group_name_H-M 'C 1 2/m 1'
_symmetry_Int_Tables_number 12
loop_
_symmetry_equiv_pos_as_xyz
'x,y,z'
'-x,-y,-z'
'-x,y,-z'
'x,-y,z'
'x+1/2,y+1/2,z'
'-x+1/2,-y+1/2,-z'
'-x+1/2,y+1/2,-z'
'x+1/2,-y+1/2,z'
loop_
_atom_site_label
_atom_site_type_symbol
_atom_site_fract_x
_atom_site_fract_y
_atom_site_fract_z
Ac1 Ac 0.000 0.000 0.000
Ac2 Ac 0.250 0.250 0.000
La1 La 0.000 0.000 0.500
La2 La 0.000 0.500 0.500
La3 La 0.250 0.250 0.500
V1 V 0.000 0.500 0.000
N1 N 0.002 0.290 0.217
N2 N 0.221 0.000 0.713
N3 N 0.246 0.500 0.737
```

Values from the calculation:
density of states at the Fermi level = 5.0 states/eV/f.u.
total energy = -7.721 eV per atom
formation energy (no corrections) = -15.78 eV per formula unit


Number 1: magnetic moment 8.33 μB per formula unit. Number 2: magnetic moment 0.00 μB per formula unit. Number 3: magnetic moment 0.00 μB per formula unit. Number 4: magnetic moment 6.12 μB per formula unit. Number 5: magnetic moment 0.00 μB per formula unit. Number 6: magnetic moment 1.32 μB per formula unit.